[1]
! Pu4Ge3Au (PBE, relaxed); values from VASP
&SYSTEM
  ibrav = 0, nat = 8, ntyp = 3
/
ATOMIC_SPECIES
Ge 72.64 Ge.upf
Au 196.97 Au.upf
Pu 244.00 Pu.upf
CELL_PARAMETERS angstrom
2.934 0.000 0.000
0.000 5.518 0.000
0.000 0.000 11.011
ATOMIC_POSITIONS crystal
Ge 0.500 0.000 0.247
Ge 0.500 0.500 0.500
Ge 0.500 0.000 0.753
Au 0.500 0.500 0.000
Pu 0.000 0.000 0.500
Pu 0.000 0.500 0.742
Pu 0.000 0.000 0.000
Pu 0.000 0.500 0.258
! size of the total moment = 2.766 μB per atom
! space group = Pmmm, No. 47
! ΔE to the lowest computed polymorph = 0 meV per atom
! ΔE_f = -0.43 eV per atom
! calculated density = 12.954 Mg/m³



[2]
! PuGe2Au3 (PBE, relaxed); values from VASP
&SYSTEM
  ibrav = 0, nat = 18, ntyp = 3
/
ATOMIC_SPECIES
Pu 244.00 Pu.upf
Ge 72.64 Ge.upf
Au 196.97 Au.upf
CELL_PARAMETERS angstrom
4.500 0.000 0.000
-2.250 8.168 -2.421
0.000 0.235 10.061
ATOMIC_POSITIONS crystal
Pu 0.174 0.348 0.708
Pu 0.826 0.652 0.292
Pu 0.000 0.000 0.000
Ge 0.190 0.379 0.104
Ge 0.810 0.621 0.896
Ge 0.473 0.947 0.216
Ge 0.527 0.053 0.784
Ge 0.344 0.688 0.521
Ge 0.656 0.312 0.479
Au 0.011 0.022 0.337
Au 0.989 0.978 0.663
Au 0.189 0.379 0.370
Au 0.811 0.621 0.630
Au 0.622 0.243 0.189
Au 0.378 0.757 0.811
Au 0.500 0.000 0.500
Au 0.331 0.661 0.063
Au 0.669 0.339 0.937
! size of the total moment = 0.909 μB per atom
! space group = C2/m, No. 12
! ΔE_f = -0.26 eV per atom
! calculated density = 13.113 Mg/m³